A relaxed TaAlV2N crystal. Source: the Alexandria database, functional PBE.

Computed properties:
Calculated volume, Å³ per cell: 66
Fermi-level density of states, states/eV/f.u.: 4.649
ΔE_f (raw), eV per atom: -0.546

Unit cell a=3.9276 b=3.9276 c=4.3045 alpha=90.00 beta=90.00 gamma=90.00
Closest atoms and distances in Å follow each position.
Space group P4/mmm (No. 123)
Inequivalent atoms, fractional coordinates:
Ta: 0.0000 0.0000 0.0000  2 N 2.15
Al: 0.5000 0.5000 0.0000  4 Ta 2.78, 8 V 2.91
V: 0.0000 0.5000 0.5000  2 N 1.96
N: 0.0000 0.0000 0.5000  4 V 1.96, 2 Ta 2.15